1.
{"formula": "Er2F", "functional": "GGA-PBE", "state": "optimized geometry", "energy_ev_per_cell": -24.5, "spacegroup": "Fd-3m", "e_above_lowest_polymorph_mev_per_atom": 1061, "lattice_angstrom": [[0.000, 5.155, 5.155], [5.155, 0.000, 5.155], [5.155, 5.155, 0.000]], "species": ["Er", "Er", "Er", "Er", "F", "F"], "frac_coords": [[0.000, 0.000, 0.000], [0.000, 0.000, 0.500], [0.000, 0.500, 0.000], [0.500, 0.000, 0.000], [0.125, 0.125, 0.125], [0.875, 0.875, 0.875]]}


2.
{"formula": "ErF3", "functional": "GGA-PBE", "state": "optimized geometry", "energy_ev_per_cell": -51.7, "spacegroup": "R-3", "lattice_angstrom": [[2.805, 1.620, 3.311], [-2.805, 1.620, 3.311], [0.000, -3.239, 3.311]], "species": ["Er", "Er", "F", "F", "F", "F", "F", "F"], "frac_coords": [[0.249, 0.249, 0.249], [0.751, 0.751, 0.751], [0.132, 0.750, 0.368], [0.250, 0.632, 0.868], [0.368, 0.132, 0.750], [0.632, 0.868, 0.250], [0.750, 0.368, 0.132], [0.868, 0.250, 0.632]]}


3.
{"formula": "ErF2", "functional": "GGA-PBE", "state": "optimized geometry", "energy_ev_per_cell": -26.6, "spacegroup": "Fd-3m", "lattice_angstrom": [[0.000, 3.314, 3.314], [3.314, 0.000, 3.314], [3.314, 3.314, 0.000]], "species": ["Er", "Er", "F", "F", "F", "F"], "frac_coords": [[0.125, 0.125, 0.125], [0.875, 0.875, 0.875], [0.000, 0.500, 0.500], [0.500, 0.000, 0.500], [0.500, 0.500, 0.000], [0.500, 0.500, 0.500]]}


4.
{"formula": "ErF3", "functional": "GGA-PBE", "state": "optimized geometry", "energy_ev_per_cell": -106.8, "spacegroup": "Pnma", "lattice_angstrom": [[5.997, 0.000, 0.000], [0.000, 6.709, 0.000], [0.000, 0.000, 4.564]], "species": ["Er", "Er", "Er", "Er", "F", "F", "F", "F", "F", "F", "F", "F", "F", "F", "F", "F"], "frac_coords": [[0.133, 0.250, 0.046], [0.367, 0.750, 0.546], [0.633, 0.250, 0.454], [0.867, 0.750, 0.954], [0.023, 0.750, 0.390], [0.168, 0.561, 0.860], [0.168, 0.939, 0.860], [0.332, 0.061, 0.360], [0.332, 0.439, 0.360], [0.477, 0.250, 0.890], [0.523, 0.750, 0.110], [0.668, 0.561, 0.640], [0.668, 0.939, 0.640], [0.832, 0.061, 0.140], [0.832, 0.439, 0.140], [0.977, 0.250, 0.610]]}


5.
{"formula": "Er2F", "functional": "GGA-PBE", "state": "optimized geometry", "energy_ev_per_cell": -30.8, "spacegroup": "P4_2/mnm", "e_above_lowest_polymorph_mev_per_atom": 0, "lattice_angstrom": [[5.830, 0.000, 0.000], [0.000, 5.830, 0.000], [0.000, 0.000, 3.696]], "species": ["Er", "Er", "Er", "Er", "F", "F"], "frac_coords": [[0.208, 0.208, 0.000], [0.292, 0.708, 0.500], [0.708, 0.292, 0.500], [0.792, 0.792, 0.000], [0.000, 0.000, 0.500], [0.500, 0.500, 0.000]]}


6.
{"formula": "ErF2", "functional": "GGA-PBE", "state": "optimized geometry", "energy_ev_per_cell": -34.9, "spacegroup": "Fd-3m", "lattice_angstrom": [[0.000, 4.727, 4.727], [4.727, 0.000, 4.727], [4.727, 4.727, 0.000]], "species": ["Er", "Er", "F", "F", "F", "F"], "frac_coords": [[0.125, 0.125, 0.125], [0.875, 0.875, 0.875], [0.000, 0.000, 0.000], [0.000, 0.000, 0.500], [0.000, 0.500, 0.000], [0.500, 0.000, 0.000]]}


7.
{"formula": "ErF3", "functional": "GGA-PBE", "state": "optimized geometry", "energy_ev_per_cell": -52.6, "spacegroup": "C2/m", "lattice_angstrom": [[3.156, -5.366, 0.000], [3.156, 5.366, 0.000], [-2.150, 0.000, 3.190]], "species": ["Er", "Er", "F", "F", "F", "F", "F", "F"], "frac_coords": [[0.161, 0.839, 0.000], [0.839, 0.161, 0.000], [0.060, 0.410, 0.729], [0.241, 0.241, 0.245], [0.410, 0.060, 0.729], [0.590, 0.940, 0.271], [0.759, 0.759, 0.755], [0.940, 0.590, 0.271]]}


8.
{"formula": "ErF4", "functional": "GGA-PBE", "state": "optimized geometry", "energy_ev_per_cell": -55.5, "spacegroup": "C2/m", "lattice_angstrom": [[3.013, -5.063, 0.000], [3.013, 5.063, 0.000], [-0.855, 0.000, 4.689]], "species": ["Er", "Er", "F", "F", "F", "F", "F", "F", "F", "F"], "frac_coords": [[0.171, 0.829, 0.000], [0.829, 0.171, 0.000], [0.097, 0.097, 0.782], [0.111, 0.533, 0.257], [0.407, 0.407, 0.578], [0.467, 0.889, 0.743], [0.533, 0.111, 0.257], [0.593, 0.593, 0.422], [0.889, 0.467, 0.743], [0.903, 0.903, 0.218]]}


9.
{"formula": "ErF3", "functional": "GGA-PBE", "state": "optimized geometry", "energy_ev_per_cell": -53.3, "spacegroup": "P6_3/m", "lattice_angstrom": [[5.636, 0.000, 0.000], [-2.818, 4.881, 0.000], [0.000, 0.000, 3.493]], "species": ["Er", "Er", "F", "F", "F", "F", "F", "F"], "frac_coords": [[0.333, 0.667, 0.250], [0.667, 0.333, 0.750], [0.086, 0.392, 0.750], [0.306, 0.914, 0.750], [0.392, 0.306, 0.250], [0.608, 0.694, 0.750], [0.694, 0.086, 0.250], [0.914, 0.608, 0.250]]}


10.
{"formula": "ErF3", "functional": "GGA-PBE", "state": "optimized geometry", "energy_ev_per_cell": -105.2, "spacegroup": "P4_2/mnm", "lattice_angstrom": [[5.257, 0.000, 0.000], [0.000, 5.257, 0.000], [0.000, 0.000, 9.100]], "species": ["Er", "Er", "Er", "Er", "F", "F", "F", "F", "F", "F", "F", "F", "F", "F", "F", "F"], "frac_coords": [[0.000, 0.000, 0.184], [0.000, 0.000, 0.816], [0.500, 0.500, 0.316], [0.500, 0.500, 0.684], [0.184, 0.184, 0.000], [0.215, 0.215, 0.335], [0.215, 0.215, 0.665], [0.285, 0.715, 0.165], [0.285, 0.715, 0.835], [0.316, 0.684, 0.500], [0.684, 0.316, 0.500], [0.715, 0.285, 0.165], [0.715, 0.285, 0.835], [0.785, 0.785, 0.335], [0.785, 0.785, 0.665], [0.816, 0.816, 0.000]]}


11.
{"formula": "ErF2", "functional": "GGA-PBE", "state": "optimized geometry", "energy_ev_per_cell": -71.4, "spacegroup": "P2_12_12_1", "lattice_angstrom": [[4.003, 0.000, 0.000], [0.000, 4.690, 0.000], [0.000, 0.000, 8.068]], "species": ["Er", "Er", "Er", "Er", "F", "F", "F", "F", "F", "F", "F", "F"], "frac_coords": [[0.140, 0.043, 0.112], [0.360, 0.957, 0.612], [0.640, 0.457, 0.888], [0.860, 0.543, 0.388], [0.138, 0.189, 0.829], [0.144, 0.566, 0.026], [0.356, 0.434, 0.526], [0.362, 0.811, 0.329], [0.638, 0.311, 0.171], [0.644, 0.934, 0.974], [0.856, 0.066, 0.474], [0.862, 0.689, 0.671]]}


12.
{"formula": "ErF3", "functional": "GGA-PBE", "state": "optimized geometry", "energy_ev_per_cell": -52.5, "spacegroup": "R-3c", "lattice_angstrom": [[2.509, 1.448, 4.965], [-2.509, 1.448, 4.965], [0.000, -2.897, 4.965]], "species": ["Er", "Er", "F", "F", "F", "F", "F", "F"], "frac_coords": [[0.000, 0.000, 0.000], [0.500, 0.500, 0.500], [0.064, 0.750, 0.436], [0.250, 0.564, 0.936], [0.436, 0.064, 0.750], [0.564, 0.936, 0.250], [0.750, 0.436, 0.064], [0.936, 0.250, 0.564]]}